(1)
LaMnRh, optimized geometry, DFT GGA-PBE; space group = No. 107; size of the total moment = 4.24 Bohr magnetons per cell; energy of formation from the pure elements = -0.074 eV/atom
1.0
5.838 -0.392 0.000
4.117 4.158 0.000
-4.978 -1.883 2.432
Mn Rh La
1 1 1
Cartesian
2.948 1.115 0.000
6.913 2.614 0.000
0.095 0.036 0.000

(2)
Dy2P3Ir4Rh, optimized geometry, DFT GGA-PBE; space group = No. 115; size of the total moment = 0.00 Bohr magnetons per cell; energy of formation from the pure elements = -0.825 eV/atom
1.0
-0.810 -2.931 -2.697
2.484 -2.523 1.996
-7.736 -3.107 5.702
P Ir Dy Rh
3 4 2 1
Cartesian
-7.098 -4.153 3.585
0.198 -1.681 1.767
-3.868 -1.554 2.851
-5.377 -3.462 2.316
0.837 -2.727 -0.350
-1.523 -2.372 3.036
0.000 0.000 0.000
-4.573 -3.597 5.284
-2.326 -2.237 0.068
-3.031 -4.280 2.501